(1)
Below is a relaxed structure of CsNaZn2Rh, with properties calculated at the GGA-PBE level.

extended XYZ file:
```
5
Lattice="-1.395 2.542 -4.081 -2.980 -4.365 -1.700 -3.987 1.764 2.461" Properties=species:S:1:pos:R:3 pbc="T T T"
Zn -1.993 0.882 1.231
Zn -0.697 1.271 -2.041
Na -1.490 -2.182 -0.850
Cs -4.181 -0.030 -1.660
Rh 0.000 0.000 0.000
```

Spin magnetization: 0.00 μB per cell
Energy of formation: 0.03 eV per atom



(2)
Below is a relaxed structure of CsNa2Ru, with properties calculated at the GGA-PBE level.

extended XYZ file:
```
4
Lattice="0.022 -2.245 5.185 -0.722 3.316 4.517 -4.794 -0.285 2.976" Properties=species:S:1:pos:R:3 pbc="T T T"
Na -1.374 0.196 3.169
Na -4.121 0.589 9.508
Ru 0.000 0.000 0.000
Cs -2.747 0.393 6.339
```

Spin magnetization: 1.65 μB per cell
Energy of formation: 1.01 eV per atom